Crystalline Ac3GeAs at its relaxed geometry. Source: Alexandria, functional PBE.

**E**: -4.64 eV/atom
**DFT formation energy**: -324 meV/atom

Lattice parameters (Å, degrees): 5.8943 5.8943 5.8943 90.00 90.00 90.00
With the nearest neighbours (Å) after each atom.
Space group Pm-3m (No. 221)
Inequivalent atoms, fractional coordinates:
Ac (0.0000, 0.0000, 0.5000) x3  2 As 2.95
Ge (0.5000, 0.5000, 0.5000) x1  12 Ac 4.17
As (0.0000, 0.0000, 0.0000) x1  6 Ac 2.95

Crystalline CsSm2CuS4 at its relaxed geometry. Source: Alexandria, functional PBE.

**E**: -5.49 eV/atom
**Formation energy without anion corrections**: -1.6297 eV/atom

Lattice parameters (Å, degrees): 4.0811 14.3272 14.0513 90.00 90.00 90.00
With the nearest neighbours (Å) after each atom.
Space group Cmcm (No. 63)
Inequivalent atoms, fractional coordinates:
Cs (0.0000, 0.1049, 0.2500) x4  6 S 3.37-3.48
Sm (0.0000, 0.3658, 0.0607) x8  6 S 2.76-2.93
Cu (0.0000, 0.1671, 0.7500) x4  4 S 2.36-2.37
S (0.0000, 0.0000, 0.0000) x4  4 Sm 2.93
S (0.0000, 0.2561, 0.6083) x8  1 Cu 2.36
S (0.0000, 0.4174, 0.2500) x4  2 Cu 2.37

Crystalline Ba2Sn2As2O at its relaxed geometry. Source: Alexandria, functional PBE.

**E**: -4.69 eV/atom
**Formation energy without anion corrections**: -0.9648 eV/atom

Lattice parameters (Å, degrees): 3.8912 7.5307 7.9776 70.86 76.14 89.83
With the nearest neighbours (Å) after each atom.
Space group P-1 (No. 2)
Inequivalent atoms, fractional coordinates:
Ba (0.0261, 0.2897, 0.4459) x2  2 O 2.63
Sn (0.2622, 0.2242, 0.9679) x2  3 As 2.77-2.83
As (0.3609, 0.9611, 0.7802) x2  3 Sn 2.77-2.83
O (0.5000, 0.5000, 0.5000) x1  4 Ba 2.63

Crystalline Cs3Er3PaTe8 at its relaxed geometry. Source: Alexandria, functional PBE.

**E**: -4.67 eV/atom
**Formation energy without anion corrections**: -1.2737 eV/atom

Lattice parameters (Å, degrees): 15.4851 8.9403 10.4587 90.00 119.62 90.00
With the nearest neighbours (Å) after each atom.
Space group C2/m (No. 12)
Inequivalent atoms, fractional coordinates:
Cs (0.0000, 0.0000, 0.0000) x2  6 Te 3.84
Cs (0.2500, 0.2500, 0.0000) x4  6 Te 3.84
Er (0.0000, 0.5000, 0.5000) x2  6 Te 3.09
Er (0.2500, 0.2500, 0.5000) x4  6 Te 3.09
Pa (0.0000, 0.0000, 0.5000) x2  6 Te 3.12
Te (0.0212, 0.2523, 0.3116) x8  2 Er 3.09, 1 Pa 3.12
Te (0.2292, 0.5000, 0.6872) x4  3 Er 3.09
Te (0.2311, 0.0000, 0.6884) x4  2 Er 3.09, 1 Pa 3.12

Crystalline Th2Zn4InCu3 at its relaxed geometry. Source: Alexandria, functional PBE.

**E**: -3.70 eV/atom
**DFT formation energy**: -202 meV/atom

Lattice parameters (Å, degrees): 4.2246 4.2246 10.6306 90.00 90.00 90.00
With the nearest neighbours (Å) after each atom.
Space group P-4m2 (No. 115)
Inequivalent atoms, fractional coordinates:
Th (0.0000, 0.5000, 0.2320) x2  6 Cu 3.20-3.55, 8 Zn 3.24-3.25, 2 In 3.55
Zn (0.0000, 0.0000, 0.0000) x1  4 Cu 2.49
Zn (0.0000, 0.5000, 0.6494) x2  3 Cu 2.40-2.64, 2 In 2.64
Zn (0.5000, 0.5000, 0.0000) x1  4 Cu 2.49
In (0.0000, 0.0000, 0.5000) x1  4 Zn 2.64
Cu (0.0000, 0.5000, 0.8751) x2  5 Zn 2.40-2.49
Cu (0.5000, 0.5000, 0.5000) x1  4 Zn 2.64

Crystalline Tb5Ir4Pt at its relaxed geometry. Source: Alexandria, functional PBE.

**E**: -7.33 eV/atom
**DFT formation energy**: -863 meV/atom

Lattice parameters (Å, degrees): 3.4195 3.4195 17.6568 90.00 90.00 90.00
With the nearest neighbours (Å) after each atom.
Space group P4/mmm (No. 123)
Inequivalent atoms, fractional coordinates:
Tb (0.0000, 0.0000, 0.0000) x1  8 Ir 2.99
Tb (0.0000, 0.0000, 0.1987) x2  8 Ir 2.98-3.00
Tb (0.0000, 0.0000, 0.3967) x2  4 Ir 2.97, 4 Pt 3.03
Ir (0.5000, 0.5000, 0.0997) x2  8 Tb 2.98-2.99
Ir (0.5000, 0.5000, 0.2993) x2  8 Tb 2.97-3.00
Pt (0.5000, 0.5000, 0.5000) x1  8 Tb 3.03

Crystalline NaTl3Zn2F8 at its relaxed geometry. Source: Alexandria, functional PBE.

**E**: -3.99 eV/atom
**Formation energy without anion corrections**: -2.1351 eV/atom

Lattice parameters (Å, degrees): 6.1697 6.1697 7.8281 90.00 90.00 120.00
With the nearest neighbours (Å) after each atom.
Space group P-3m1 (No. 164)
Inequivalent atoms, fractional coordinates:
Na (0.0000, 0.0000, 0.0000) x1  6 F 2.33
Tl (0.0000, 0.0000, 0.5000) x1  6 F 3.00
Tl (0.3333, 0.6667, 0.1502) x2  1 F 2.49
Zn (0.3333, 0.6667, 0.7108) x2  4 F 1.90-1.94
F (0.1664, 0.3328, 0.8079) x6  1 Zn 1.94
F (0.3333, 0.6667, 0.4677) x2  1 Zn 1.90

Crystalline NaY3Be at its relaxed geometry. Source: Alexandria, functional PBE.

**Energy relative to the lowest polymorph listed for this composition**: 967 meV per atom
**E**: -3.58 eV/atom
**DFT formation energy**: 1308 meV/atom

Lattice parameters (Å, degrees): 5.4472 5.4472 5.4472 90.00 90.00 90.00
With the nearest neighbours (Å) after each atom.
Space group Pm-3m (No. 221)
Inequivalent atoms, fractional coordinates:
Na (0.0000, 0.0000, 0.0000) x1  6 Y 2.72
Y (0.0000, 0.0000, 0.5000) x3  2 Na 2.72
Be (0.5000, 0.5000, 0.5000) x1  12 Y 3.85

Crystalline CeNd2Ga3Rh4 at its relaxed geometry. Source: Alexandria, functional PBE.

**E**: -6.16 eV/atom
**DFT formation energy**: -769 meV/atom

Lattice parameters (Å, degrees): 4.3348 4.3348 10.7954 90.00 90.00 90.00
With the nearest neighbours (Å) after each atom.
Space group P-4m2 (No. 115)
Inequivalent atoms, fractional coordinates:
Ce (0.0000, 0.0000, 0.0000) x1  4 Rh 2.68
Nd (0.0000, 0.5000, 0.7174) x2  8 Rh 3.19-3.40, 4 Ga 3.25
Ga (0.0000, 0.5000, 0.3815) x2  5 Rh 2.52-2.54
Ga (0.5000, 0.5000, 0.0000) x1  4 Rh 2.68
Rh (0.0000, 0.0000, 0.5000) x1  4 Ga 2.52
Rh (0.0000, 0.5000, 0.1464) x2  3 Ga 2.54-2.68, 2 Ce 2.68
Rh (0.5000, 0.5000, 0.5000) x1  4 Ga 2.52

Crystalline Ce5Ga4Co at its relaxed geometry. Source: Alexandria, functional PBE.

**E**: -5.14 eV/atom
**DFT formation energy**: -257 meV/atom

Lattice parameters (Å, degrees): 10.0845 10.0845 4.5656 90.00 90.00 90.00
With the nearest neighbours (Å) after each atom.
Space group I4/mmm (No. 139)
Inequivalent atoms, fractional coordinates:
Ce (0.0000, 0.0000, 0.0000) x2  2 Co 2.28
Ce (0.1926, 0.1926, 0.5000) x8  1 Co 2.75, 2 Ce 2.81
Ga (0.0000, 0.3427, 0.0000) x8  7 Ce 3.12-3.46, 5 Ga 3.17-3.20
Co (0.0000, 0.0000, 0.5000) x2  2 Ce 2.28